# GGA-PBE Nd5Ga2N, optimized geometry
# Formation energy without anion corrections: -0.33 eV/atom
data_Nd5Ga2N
_chemical_formula_sum 'Nd20 Ga8 N4'
_cell_length_a 5.742
_cell_length_b 14.365
_cell_length_c 11.396
_cell_angle_alpha 90.00
_cell_angle_beta 90.00
_cell_angle_gamma 90.00
_space_group_name_H-M_alt 'C m c m'
_space_group_IT_number 63
_space_group_name_Hall '-C 2c 2'
loop_
_atom_site_label
_atom_site_type_symbol
_atom_site_fract_x
_atom_site_fract_y
_atom_site_fract_z
_atom_site_occupancy
Nd1 Nd 0.000 0.070 0.106 1
Nd2 Nd 0.000 0.307 0.092 1
Nd3 Nd 0.000 0.333 0.750 1
Ga1 Ga 0.000 0.144 0.637 1
N1 N 0.000 0.186 0.250 1

# GGA-PBE Nd6GaN, optimized geometry
# Formation energy without anion corrections: -0.34 eV/atom
data_Nd6GaN
_chemical_formula_sum 'Nd6 Ga1 N1'
_cell_length_a 6.715
_cell_length_b 6.737
_cell_length_c 7.227
_cell_angle_alpha 62.41
_cell_angle_beta 62.88
_cell_angle_gamma 60.34
_space_group_name_H-M_alt 'P -1'
_space_group_IT_number 2
loop_
_space_group_symop_operation_xyz
'x,y,z'
'-x,-y,-z'
loop_
_atom_site_label
_atom_site_type_symbol
_atom_site_fract_x
_atom_site_fract_y
_atom_site_fract_z
_atom_site_occupancy
Nd1 Nd 0.045 0.401 0.267 1
Nd2 Nd 0.215 0.957 0.733 1
Nd3 Nd 0.398 0.786 0.269 1
Ga1 Ga 0.500 0.500 0.000 1
N1 N 0.000 0.000 0.500 1

# GGA-PBE Nd2GaN, optimized geometry
# Formation energy without anion corrections: -0.85 eV/atom
data_Nd2GaN
_chemical_formula_sum 'Nd6 Ga3 N3'
_cell_length_a 3.7054
_cell_length_b 3.7054
_cell_length_c 22.5940
_cell_angle_alpha 90.00
_cell_angle_beta 90.00
_cell_angle_gamma 120.00
_space_group_name_H-M_alt 'R -3 m'
_space_group_IT_number 166
_space_group_name_Hall '-R 3 2"'
loop_
_atom_site_label
_atom_site_type_symbol
_atom_site_fract_x
_atom_site_fract_y
_atom_site_fract_z
_atom_site_occupancy
Nd1 Nd 0.0000 0.0000 0.2299 1
Ga1 Ga 0.0000 0.0000 0.0000 1
N1 N 0.0000 0.0000 0.5000 1

# GGA-PBE Nd2GaN, optimized geometry
# Formation energy without anion corrections: -0.46 eV/atom
data_Nd2GaN
_chemical_formula_sum 'Nd2 Ga1 N1'
_cell_length_a 3.190
_cell_length_b 3.190
_cell_length_c 7.834
_cell_angle_alpha 90.00
_cell_angle_beta 90.00
_cell_angle_gamma 90.00
_space_group_name_H-M_alt 'P 4/m m m'
_space_group_IT_number 123
_space_group_name_Hall '-P 4 2'
loop_
_atom_site_label
_atom_site_type_symbol
_atom_site_fract_x
_atom_site_fract_y
_atom_site_fract_z
_atom_site_occupancy
Nd1 Nd 0.000 0.000 0.192 1
Ga1 Ga 0.500 0.500 0.500 1
N1 N 0.500 0.500 0.000 1

# GGA-PBE Nd3GaN, optimized geometry
# Formation energy without anion corrections: -0.81 eV/atom
data_Nd3GaN
_chemical_formula_sum 'Nd3 Ga1 N1'
_cell_length_a 4.976
_cell_length_b 4.976
_cell_length_c 4.976
_cell_angle_alpha 90.00
_cell_angle_beta 90.00
_cell_angle_gamma 90.00
_space_group_name_H-M_alt 'P m -3 m'
_space_group_IT_number 221
_space_group_name_Hall '-P 4 2 3'
loop_
_atom_site_label
_atom_site_type_symbol
_atom_site_fract_x
_atom_site_fract_y
_atom_site_fract_z
_atom_site_occupancy
Nd1 Nd 0.000 0.000 0.500 1
Ga1 Ga 0.500 0.500 0.500 1
N1 N 0.000 0.000 0.000 1

# GGA-PBE Nd8Ga2N, optimized geometry
# Formation energy without anion corrections: -0.24 eV/atom
data_Nd8Ga2N
_chemical_formula_sum 'Nd16 Ga4 N2'
_cell_length_a 18.029
_cell_length_b 5.540
_cell_length_c 6.452
_cell_angle_alpha 90.00
_cell_angle_beta 110.79
_cell_angle_gamma 90.00
_space_group_name_H-M_alt 'C 1 2/m 1'
_space_group_IT_number 12
loop_
_space_group_symop_operation_xyz
'x,y,z'
'-x,-y,-z'
'-x,y,-z'
'x,-y,z'
'x+1/2,y+1/2,z'
'-x+1/2,-y+1/2,-z'
'-x+1/2,y+1/2,-z'
'x+1/2,-y+1/2,z'
loop_
_atom_site_label
_atom_site_type_symbol
_atom_site_fract_x
_atom_site_fract_y
_atom_site_fract_z
_atom_site_occupancy
Nd1 Nd 0.005 0.000 0.260 1
Nd2 Nd 0.079 0.500 0.893 1
Nd3 Nd 0.133 0.500 0.451 1
Nd4 Nd 0.219 0.000 0.783 1
Ga1 Ga 0.175 0.000 0.224 1
N1 N 0.000 0.500 0.500 1

# GGA-PBE Nd7Ga2N2, optimized geometry
# Formation energy without anion corrections: -0.54 eV/atom
data_Nd7Ga2N2
_chemical_formula_sum 'Nd14 Ga4 N4'
_cell_length_a 11.291
_cell_length_b 7.489
_cell_length_c 6.614
_cell_angle_alpha 90.00
_cell_angle_beta 96.84
_cell_angle_gamma 90.00
_space_group_name_H-M_alt 'C 1 2/m 1'
_space_group_IT_number 12
loop_
_space_group_symop_operation_xyz
'x,y,z'
'-x,-y,-z'
'-x,y,-z'
'x,-y,z'
'x+1/2,y+1/2,z'
'-x+1/2,-y+1/2,-z'
'-x+1/2,y+1/2,-z'
'x+1/2,-y+1/2,z'
loop_
_atom_site_label
_atom_site_type_symbol
_atom_site_fract_x
_atom_site_fract_y
_atom_site_fract_z
_atom_site_occupancy
Nd1 Nd 0.000 0.000 0.000 1
Nd2 Nd 0.056 0.500 0.779 1
Nd3 Nd 0.228 0.278 0.236 1
Ga1 Ga 0.000 0.167 0.500 1
N1 N 0.229 0.000 0.028 1

# GGA-PBE NdGaNi2N, optimized geometry
# Formation energy without anion corrections: -0.66 eV/atom
data_NdGaNi2N
_chemical_formula_sum 'Nd4 Ga4 Ni8 N4'
_cell_length_a 3.663
_cell_length_b 11.285
_cell_length_c 7.019
_cell_angle_alpha 90.00
_cell_angle_beta 90.00
_cell_angle_gamma 90.00
_space_group_name_H-M_alt 'C m c m'
_space_group_IT_number 63
_space_group_name_Hall '-C 2c 2'
loop_
_atom_site_label
_atom_site_type_symbol
_atom_site_fract_x
_atom_site_fract_y
_atom_site_fract_z
_atom_site_occupancy
Nd1 Nd 0.000 0.039 0.250 1
Ga1 Ga 0.000 0.233 0.750 1
Ni1 Ni 0.000 0.338 0.054 1
N1 N 0.000 0.500 0.000 1

Number 1: V 939.9 Å³/cell. Number 2: V 240.7 Å³/cell. Number 3: V 268.7 Å³/cell. Number 4: V 79.7 Å³/cell. Number 5: V 123.2 Å³/cell. Number 6: V 602.5 Å³/cell. Number 7: V 555.3 Å³/cell. Number 8: V 290.2 Å³/cell.